Entry from Alexandria: a relaxed structure of AcPm2Pr2Ho (PBE-GGA).

The structure in extended XYZ format:
```
12
Lattice="5.844 0.000 0.000 0.000 10.099 0.000 0.000 0.000 7.299" Properties=species:S:1:pos:R:3 pbc="T T T"
Ac 0.000 10.098 0.000
Ac 0.000 0.001 3.650
Pm 0.000 3.395 1.829
Pm 0.000 6.704 5.479
Pm 2.922 1.731 5.474
Pm 2.922 8.368 1.825
Pr 0.000 3.376 5.479
Pr 0.000 6.723 1.830
Pr 2.922 5.050 0.004
Pr 2.922 5.049 3.653
Ho 2.922 1.690 1.824
Ho 2.922 8.409 5.473
```

SG = Pmc2_1, No. 26
Calculated formation energy = 0.06 eV per atom